# 1
Computed, not measured: crystalline VNi2HOs at its relaxed geometry at the PBE-GGA level of DFT.

Structure (CIF):
```
data_VNi2HOs
_chemical_formula_sum 'V1 Ni2 H1 Os1'
_cell_length_a 3.592
_cell_length_b 3.592
_cell_length_c 3.947
_cell_angle_alpha 90.00
_cell_angle_beta 90.00
_cell_angle_gamma 90.00
_space_group_name_H-M_alt 'P 4/m m m'
_space_group_IT_number 123
_space_group_name_Hall '-P 4 2'
loop_
_atom_site_label
_atom_site_type_symbol
_atom_site_fract_x
_atom_site_fract_y
_atom_site_fract_z
V1 V 0.000 0.000 0.000
Ni1 Ni 0.000 0.500 0.500
H1 H 0.000 0.000 0.500
Os1 Os 0.500 0.500 0.000
```

Summary:
Excess energy over the best structure of this formula in the dataset ... 0.0000 eV per atom
VASP energy ... -35.68 eV/cell

---

# 2
Computed, not measured: crystalline InRe2Hg at its relaxed geometry at the PBE-GGA level of DFT.

Structure (CIF):
```
data_InRe2Hg
_chemical_formula_sum 'In1 Re2 Hg1'
_cell_length_a 3.039
_cell_length_b 2.975
_cell_length_c 8.558
_cell_angle_alpha 90.00
_cell_angle_beta 100.11
_cell_angle_gamma 90.00
_space_group_name_H-M_alt 'P 1 m 1'
_space_group_IT_number 6
loop_
_space_group_symop_operation_xyz
'x,y,z'
'x,-y,z'
loop_
_atom_site_label
_atom_site_type_symbol
_atom_site_fract_x
_atom_site_fract_y
_atom_site_fract_z
In1 In 0.000 0.000 0.000
Re1 Re 0.377 0.500 0.752
Re2 Re 0.791 0.000 0.579
Hg1 Hg 0.162 0.500 0.319
```

Summary:
DFT formation energy ... 0.296 eV/atom
Excess energy over the best structure of this formula in the dataset ... 0.0000 eV per atom
VASP energy ... -26.75 eV/cell

---

# 3
Computed, not measured: crystalline Au5C at its relaxed geometry at the PBE-GGA level of DFT.

Structure (CIF):
```
data_Au5C
_chemical_formula_sum 'Au20 C4'
_cell_length_a 7.731
_cell_length_b 7.731
_cell_length_c 7.731
_cell_angle_alpha 90.00
_cell_angle_beta 90.00
_cell_angle_gamma 90.00
_space_group_name_H-M_alt 'F -4 3 m'
_space_group_IT_number 216
_space_group_name_Hall 'F -4 2 3'
loop_
_atom_site_label
_atom_site_type_symbol
_atom_site_fract_x
_atom_site_fract_y
_atom_site_fract_z
Au1 Au 0.000 0.000 0.000
Au2 Au 0.125 0.125 0.375
C1 C 0.250 0.250 0.750
```

Summary:
DFT formation energy ... 1.273 eV/atom
Excess energy over the best structure of this formula in the dataset ... 0.6372 eV per atom
VASP energy ... -71.90 eV/cell

---

# 4
Computed, not measured: crystalline Li3Pa5Se8 at its relaxed geometry at the PBE-GGA level of DFT.

Structure (CIF):
```
data_Li3Pa5Se8
_chemical_formula_sum 'Li9 Pa15 Se24'
_cell_length_a 7.9009
_cell_length_b 7.9009
_cell_length_c 20.3876
_cell_angle_alpha 90.00
_cell_angle_beta 90.00
_cell_angle_gamma 120.00
_space_group_name_H-M_alt 'R -3 m'
_space_group_IT_number 166
_space_group_name_Hall '-R 3 2"'
loop_
_atom_site_label
_atom_site_type_symbol
_atom_site_fract_x
_atom_site_fract_y
_atom_site_fract_z
Li1 Li 0.0000 0.5000 0.0000
Pa1 Pa 0.0000 0.0000 0.0000
Pa2 Pa 0.0000 0.0000 0.5000
Pa3 Pa 0.0000 0.5000 0.5000
Se1 Se 0.0000 0.0000 0.2554
Se2 Se 0.0106 0.5053 0.2557
```

Summary:
Raw formation energy ... -20.09 eV/f.u.
VASP energy ... -303.57 eV/cell

---

# 5
Computed, not measured: crystalline YAs2Cl at its relaxed geometry at the PBE-GGA level of DFT.

Structure (CIF):
```
data_YAs2Cl
_chemical_formula_sum 'Y1 As2 Cl1'
_cell_length_a 3.536
_cell_length_b 3.536
_cell_length_c 8.102
_cell_angle_alpha 90.00
_cell_angle_beta 90.00
_cell_angle_gamma 90.00
_space_group_name_H-M_alt 'P 4 m m'
_space_group_IT_number 99
loop_
_space_group_symop_operation_xyz
'x,y,z'
'-y,x,z'
'-x,-y,z'
'y,-x,z'
'-x,y,z'
'y,x,z'
'x,-y,z'
'-y,-x,z'
loop_
_atom_site_label
_atom_site_type_symbol
_atom_site_fract_x
_atom_site_fract_y
_atom_site_fract_z
Y1 Y 0.000 0.000 0.000
As1 As 0.000 0.000 0.355
As2 As 0.500 0.500 0.233
Cl1 Cl 0.500 0.500 0.810
```

Summary:
Raw formation energy ... -3.51 eV/f.u.
Excess energy over the best structure of this formula in the dataset ... 0.1380 eV per atom
VASP energy ... -21.12 eV/cell

---

# 6
Computed, not measured: crystalline Dy2GaSn at its relaxed geometry at the PBE-GGA level of DFT.

Structure (CIF):
```
data_Dy2GaSn
_chemical_formula_sum 'Dy2 Ga1 Sn1'
_cell_length_a 4.858
_cell_length_b 4.858
_cell_length_c 4.201
_cell_angle_alpha 90.00
_cell_angle_beta 90.00
_cell_angle_gamma 90.00
_space_group_name_H-M_alt 'P 4/m m m'
_space_group_IT_number 123
_space_group_name_Hall '-P 4 2'
loop_
_atom_site_label
_atom_site_type_symbol
_atom_site_fract_x
_atom_site_fract_y
_atom_site_fract_z
Dy1 Dy 0.000 0.500 0.000
Ga1 Ga 0.000 0.000 0.500
Sn1 Sn 0.500 0.500 0.500
```

Summary:
DFT formation energy ... -0.585 eV/atom
VASP energy ... -18.57 eV/cell

---

# 7
Computed, not measured: crystalline Ba2PrIrO6 at its relaxed geometry at the PBE-GGA level of DFT.

Structure (CIF):
```
data_Ba2PrIrO6
_chemical_formula_sum 'Ba8 Pr4 Ir4 O24'
_cell_length_a 8.628
_cell_length_b 8.628
_cell_length_c 8.628
_cell_angle_alpha 90.00
_cell_angle_beta 90.00
_cell_angle_gamma 90.00
_space_group_name_H-M_alt 'F m -3 m'
_space_group_IT_number 225
_space_group_name_Hall '-F 4 2 3'
loop_
_atom_site_label
_atom_site_type_symbol
_atom_site_fract_x
_atom_site_fract_y
_atom_site_fract_z
Ba1 Ba 0.250 0.250 0.250
Pr1 Pr 0.000 0.000 0.000
Ir1 Ir 0.000 0.000 0.500
O1 O 0.000 0.000 0.270
```

Summary:
Raw formation energy ... -22.50 eV/f.u.
VASP energy ... -278.92 eV/cell

---

# 8
Computed, not measured: crystalline POsO2 at its relaxed geometry at the PBE-GGA level of DFT.

Structure (CIF):
```
data_POsO2
_chemical_formula_sum 'P3 Os3 O6'
_cell_length_a 2.8255
_cell_length_b 2.8255
_cell_length_c 20.0361
_cell_angle_alpha 90.00
_cell_angle_beta 90.00
_cell_angle_gamma 120.00
_space_group_name_H-M_alt 'R -3 m'
_space_group_IT_number 166
_space_group_name_Hall '-R 3 2"'
loop_
_atom_site_label
_atom_site_type_symbol
_atom_site_fract_x
_atom_site_fract_y
_atom_site_fract_z
P1 P 0.0000 0.0000 0.0000
Os1 Os 0.0000 0.0000 0.5000
O1 O 0.0000 0.0000 0.1007
```

Summary:
Raw formation energy ... -0.43 eV/f.u.
VASP energy ... -80.96 eV/cell

---

# 9
Computed, not measured: crystalline Sr2AlW at its relaxed geometry at the PBE-GGA level of DFT.

Structure (CIF):
```
data_Sr2AlW
_chemical_formula_sum 'Sr4 Al2 W2'
_cell_length_a 11.076
_cell_length_b 3.120
_cell_length_c 5.873
_cell_angle_alpha 90.00
_cell_angle_beta 98.23
_cell_angle_gamma 90.00
_space_group_name_H-M_alt 'C 1 2/m 1'
_space_group_IT_number 12
loop_
_space_group_symop_operation_xyz
'x,y,z'
'-x,-y,-z'
'-x,y,-z'
'x,-y,z'
'x+1/2,y+1/2,z'
'-x+1/2,-y+1/2,-z'
'-x+1/2,y+1/2,-z'
'x+1/2,-y+1/2,z'
loop_
_atom_site_label
_atom_site_type_symbol
_atom_site_fract_x
_atom_site_fract_y
_atom_site_fract_z
Sr1 Sr 0.250 0.000 0.248
Al1 Al 0.000 0.000 0.500
W1 W 0.000 0.500 0.000
```

Summary:
DFT formation energy ... 1.080 eV/atom
VASP energy ... -31.48 eV/cell

---

# 10
Computed, not measured: crystalline Tm6CdSn3 at its relaxed geometry at the PBE-GGA level of DFT.

Structure (CIF):
```
data_Tm6CdSn3
_chemical_formula_sum 'Tm24 Cd4 Sn12'
_cell_length_a 12.074
_cell_length_b 12.083
_cell_length_c 7.518
_cell_angle_alpha 90.00
_cell_angle_beta 90.00
_cell_angle_gamma 90.00
_space_group_name_H-M_alt 'C m c 21'
_space_group_IT_number 36
loop_
_space_group_symop_operation_xyz
'x,y,z'
'-x,-y,z+1/2'
'-x,y,z'
'x,-y,z+1/2'
'x+1/2,y+1/2,z'
'-x+1/2,-y+1/2,z+1/2'
'-x+1/2,y+1/2,z'
'x+1/2,-y+1/2,z+1/2'
loop_
_atom_site_label
_atom_site_type_symbol
_atom_site_fract_x
_atom_site_fract_y
_atom_site_fract_z
Tm1 Tm 0.000 0.127 0.000
Tm2 Tm 0.000 0.169 0.488
Tm3 Tm 0.145 0.474 0.487
Tm4 Tm 0.248 0.259 0.751
Cd1 Cd 0.000 0.344 0.192
Sn1 Sn 0.000 0.348 0.780
Sn2 Sn 0.158 0.013 0.735
```

Summary:
DFT formation energy ... -0.475 eV/atom
VASP energy ... -178.03 eV/cell

---

# 11
Computed, not measured: crystalline GdThOs at its relaxed geometry at the PBE-GGA level of DFT.

Structure (CIF):
```
data_GdThOs
_chemical_formula_sum 'Gd4 Th4 Os4'
_cell_length_a 6.914
_cell_length_b 6.914
_cell_length_c 6.914
_cell_angle_alpha 90.00
_cell_angle_beta 90.00
_cell_angle_gamma 90.00
_space_group_name_H-M_alt 'F -4 3 m'
_space_group_IT_number 216
_space_group_name_Hall 'F -4 2 3'
loop_
_atom_site_label
_atom_site_type_symbol
_atom_site_fract_x
_atom_site_fract_y
_atom_site_fract_z
Gd1 Gd 0.000 0.000 0.000
Th1 Th 0.000 0.000 0.500
Os1 Os 0.250 0.250 0.750
```

Summary:
DFT formation energy ... -0.187 eV/atom
Excess energy over the best structure of this formula in the dataset ... 0.0000 eV per atom
VASP energy ... -133.16 eV/cell

---

# 12
Computed, not measured: crystalline Na2TlCdAu at its relaxed geometry at the PBE-GGA level of DFT.

Structure (CIF):
```
data_Na2TlCdAu
_chemical_formula_sum 'Na2 Tl1 Cd1 Au1'
_cell_length_a 5.494
_cell_length_b 5.494
_cell_length_c 5.682
_cell_angle_alpha 90.00
_cell_angle_beta 90.00
_cell_angle_gamma 90.00
_space_group_name_H-M_alt 'P 4/m m m'
_space_group_IT_number 123
_space_group_name_Hall '-P 4 2'
loop_
_atom_site_label
_atom_site_type_symbol
_atom_site_fract_x
_atom_site_fract_y
_atom_site_fract_z
Na1 Na 0.000 0.500 0.000
Tl1 Tl 0.000 0.000 0.500
Cd1 Cd 0.500 0.500 0.500
Au1 Au 0.000 0.000 0.000
```

Summary:
DFT formation energy ... 0.026 eV/atom
Excess energy over the best structure of this formula in the dataset ... 0.0646 eV per atom
VASP energy ... -9.07 eV/cell

---

# 13
Computed, not measured: crystalline UVNi4 at its relaxed geometry at the PBE-GGA level of DFT.

Structure (CIF):
```
data_UVNi4
_chemical_formula_sum 'U4 V4 Ni16'
_cell_length_a 6.867
_cell_length_b 6.867
_cell_length_c 6.867
_cell_angle_alpha 90.00
_cell_angle_beta 90.00
_cell_angle_gamma 90.00
_space_group_name_H-M_alt 'F -4 3 m'
_space_group_IT_number 216
_space_group_name_Hall 'F -4 2 3'
loop_
_atom_site_label
_atom_site_type_symbol
_atom_site_fract_x
_atom_site_fract_y
_atom_site_fract_z
U1 U 0.000 0.000 0.000
V1 V 0.250 0.250 0.750
Ni1 Ni 0.124 0.124 0.376
```

Summary:
DFT formation energy ... -0.155 eV/atom
VASP energy ... -177.86 eV/cell

---

# 14
Computed, not measured: crystalline Cs2GaHg6Pb at its relaxed geometry at the PBE-GGA level of DFT.

Structure (CIF):
```
data_Cs2GaHg6Pb
_chemical_formula_sum 'Cs4 Ga2 Hg12 Pb2'
_cell_length_a 11.565
_cell_length_b 11.743
_cell_length_c 8.237
_cell_angle_alpha 90.00
_cell_angle_beta 134.40
_cell_angle_gamma 90.00
_space_group_name_H-M_alt 'C 1 2/m 1'
_space_group_IT_number 12
loop_
_space_group_symop_operation_xyz
'x,y,z'
'-x,-y,-z'
'-x,y,-z'
'x,-y,z'
'x+1/2,y+1/2,z'
'-x+1/2,-y+1/2,-z'
'-x+1/2,y+1/2,-z'
'x+1/2,-y+1/2,z'
loop_
_atom_site_label
_atom_site_type_symbol
_atom_site_fract_x
_atom_site_fract_y
_atom_site_fract_z
Cs1 Cs 0.000 0.250 0.000
Ga1 Ga 0.000 0.000 0.500
Hg1 Hg 0.000 0.237 0.500
Hg2 Hg 0.237 0.000 0.500
Hg3 Hg 0.237 0.000 0.975
Pb1 Pb 0.000 0.500 0.500
```

Summary:
DFT formation energy ... -0.116 eV/atom
VASP energy ... -22.83 eV/cell

---

# 15
Computed, not measured: crystalline TmMgTlRu at its relaxed geometry at the PBE-GGA level of DFT.

Structure (CIF):
```
data_TmMgTlRu
_chemical_formula_sum 'Tm4 Mg4 Tl4 Ru4'
_cell_length_a 6.884
_cell_length_b 6.884
_cell_length_c 6.884
_cell_angle_alpha 90.00
_cell_angle_beta 90.00
_cell_angle_gamma 90.00
_space_group_name_H-M_alt 'F -4 3 m'
_space_group_IT_number 216
_space_group_name_Hall 'F -4 2 3'
loop_
_atom_site_label
_atom_site_type_symbol
_atom_site_fract_x
_atom_site_fract_y
_atom_site_fract_z
Tm1 Tm 0.000 0.000 0.000
Mg1 Mg 0.000 0.000 0.500
Tl1 Tl 0.250 0.250 0.250
Ru1 Ru 0.250 0.250 0.750
```

Summary:
DFT formation energy ... -0.049 eV/atom
VASP energy ... -71.62 eV/cell

---

# 16
Computed, not measured: crystalline Li4MgAg2 at its relaxed geometry at the PBE-GGA level of DFT.

Structure (CIF):
```
data_Li4MgAg2
_chemical_formula_sum 'Li8 Mg2 Ag4'
_cell_length_a 3.503
_cell_length_b 3.503
_cell_length_c 20.294
_cell_angle_alpha 90.00
_cell_angle_beta 90.00
_cell_angle_gamma 90.00
_space_group_name_H-M_alt 'I 4/m m m'
_space_group_IT_number 139
_space_group_name_Hall '-I 4 2'
loop_
_atom_site_label
_atom_site_type_symbol
_atom_site_fract_x
_atom_site_fract_y
_atom_site_fract_z
Li1 Li 0.000 0.000 0.140
Li2 Li 0.000 0.500 0.250
Mg1 Mg 0.000 0.000 0.000
Ag1 Ag 0.000 0.000 0.419
```

Summary:
DFT formation energy ... -0.006 eV/atom
Excess energy over the best structure of this formula in the dataset ... 0.0896 eV per atom
VASP energy ... -29.99 eV/cell

---

# 17
Computed, not measured: crystalline SrAgAu at its relaxed geometry at the PBE-GGA level of DFT.

Structure (CIF):
```
data_SrAgAu
_chemical_formula_sum 'Sr16 Ag16 Au16'
_cell_length_a 5.583
_cell_length_b 14.198
_cell_length_c 16.547
_cell_angle_alpha 90.00
_cell_angle_beta 90.00
_cell_angle_gamma 90.00
_space_group_name_H-M_alt 'F m m m'
_space_group_IT_number 69
_space_group_name_Hall '-F 2 2'
loop_
_atom_site_label
_atom_site_type_symbol
_atom_site_fract_x
_atom_site_fract_y
_atom_site_fract_z
Sr1 Sr 0.000 0.138 0.117
Ag1 Ag 0.000 0.000 0.411
Ag2 Ag 0.000 0.176 0.500
Au1 Au 0.000 0.162 0.304
```

Summary:
DFT formation energy ... -0.334 eV/atom
Excess energy over the best structure of this formula in the dataset ... 0.2037 eV per atom
VASP energy ... -140.99 eV/cell

---

# 18
Computed, not measured: crystalline NaMg2VSi at its relaxed geometry at the PBE-GGA level of DFT.

Structure (CIF):
```
data_NaMg2VSi
_chemical_formula_sum 'Na1 Mg2 V1 Si1'
_cell_length_a 5.264
_cell_length_b 5.264
_cell_length_c 4.740
_cell_angle_alpha 90.00
_cell_angle_beta 90.00
_cell_angle_gamma 90.00
_space_group_name_H-M_alt 'P 4/m m m'
_space_group_IT_number 123
_space_group_name_Hall '-P 4 2'
loop_
_atom_site_label
_atom_site_type_symbol
_atom_site_fract_x
_atom_site_fract_y
_atom_site_fract_z
Na1 Na 0.000 0.000 0.000
Mg1 Mg 0.000 0.500 0.500
V1 V 0.500 0.500 0.500
Si1 Si 0.500 0.500 0.000
```

Summary:
Raw formation energy ... 2.47 eV/f.u.
VASP energy ... -16.58 eV/cell

---

# 19
Computed, not measured: crystalline SiRuRh4 at its relaxed geometry at the PBE-GGA level of DFT.

Structure (CIF):
```
data_SiRuRh4
_chemical_formula_sum 'Si4 Ru4 Rh16'
_cell_length_a 7.162
_cell_length_b 7.162
_cell_length_c 7.162
_cell_angle_alpha 90.00
_cell_angle_beta 90.00
_cell_angle_gamma 90.00
_space_group_name_H-M_alt 'F -4 3 m'
_space_group_IT_number 216
_space_group_name_Hall 'F -4 2 3'
loop_
_atom_site_label
_atom_site_type_symbol
_atom_site_fract_x
_atom_site_fract_y
_atom_site_fract_z
Si1 Si 0.000 0.000 0.000
Ru1 Ru 0.250 0.250 0.250
Rh1 Rh 0.125 0.125 0.625
```

Summary:
Raw formation energy ... 3.04 eV/f.u.
VASP energy ... -164.26 eV/cell

---

# 20
Computed, not measured: crystalline RbNaPb2 at its relaxed geometry at the PBE-GGA level of DFT.

Structure (CIF):
```
data_RbNaPb2
_chemical_formula_sum 'Rb2 Na2 Pb4'
_cell_length_a 5.658
_cell_length_b 9.107
_cell_length_c 7.399
_cell_angle_alpha 90.00
_cell_angle_beta 112.37
_cell_angle_gamma 90.00
_space_group_name_H-M_alt 'P 1 21/m 1'
_space_group_IT_number 11
loop_
_space_group_symop_operation_xyz
'x,y,z'
'-x,-y,-z'
'-x,y+1/2,-z'
'x,-y+1/2,z'
loop_
_atom_site_label
_atom_site_type_symbol
_atom_site_fract_x
_atom_site_fract_y
_atom_site_fract_z
Rb1 Rb 0.059 0.250 0.120
Na1 Na 0.343 0.250 0.687
Pb1 Pb 0.225 0.580 0.449
```

Summary:
DFT formation energy ... -0.096 eV/atom
Excess energy over the best structure of this formula in the dataset ... 0.0282 eV per atom
VASP energy ... -20.17 eV/cell